Here is an optimized crystal structure of SrMgGe from Alexandria via LeMat-Bulk. Energies are from GGA-PBE.

a = 7.863 Å, b = 4.638 Å, c = 8.609 Å
α = 90.00°, β = 90.00°, γ = 90.00°
Fractional positions:
Sr (0.016, 0.250, 0.183)
Sr (0.484, 0.750, 0.683)
Sr (0.516, 0.250, 0.317)
Sr (0.984, 0.750, 0.817)
Mg (0.142, 0.250, 0.563)
Mg (0.358, 0.750, 0.063)
Mg (0.642, 0.250, 0.937)
Mg (0.858, 0.750, 0.437)
Ge (0.221, 0.750, 0.390)
Ge (0.279, 0.250, 0.890)
Ge (0.721, 0.750, 0.110)
Ge (0.779, 0.250, 0.610)

Output
The total energy comes out at -3.173 eV per atom. As for the space group: No. 62.

Here is an optimized crystal structure of Pr6Sm2Ga from Alexandria via LeMat-Bulk. Energies are from GGA-PBE.

a = 10.242 Å, b = 10.592 Å, c = 5.593 Å
α = 90.00°, β = 90.00°, γ = 90.00°
Fractional positions:
Pr (0.023, 0.195, 0.000)
Pr (0.131, 0.607, 0.500)
Pr (0.192, 0.935, 0.500)
Pr (0.308, 0.435, 0.000)
Pr (0.369, 0.107, 0.000)
Pr (0.477, 0.695, 0.500)
Pr (0.523, 0.305, 0.500)
Pr (0.631, 0.893, 0.000)
Pr (0.692, 0.565, 0.000)
Pr (0.808, 0.065, 0.500)
Pr (0.869, 0.393, 0.500)
Pr (0.977, 0.805, 0.000)
Sm (0.199, 0.259, 0.500)
Sm (0.301, 0.759, 0.000)
Sm (0.699, 0.241, 0.000)
Sm (0.801, 0.741, 0.500)
Ga (0.000, 0.500, 0.000)
Ga (0.500, 0.000, 0.500)

Output
The total energy comes out at -4.619 eV per atom. As for the space group: No. 58.

Here is an optimized crystal structure of NbAlCoPt from Alexandria via LeMat-Bulk. Energies are from GGA-PBE.

a = 4.392 Å, b = 4.392 Å, c = 4.392 Å
α = 60.00°, β = 60.00°, γ = 60.00°
Fractional positions:
Nb (0.000, 0.000, 0.000)
Al (0.500, 0.500, 0.500)
Co (0.250, 0.250, 0.250)
Pt (0.750, 0.750, 0.750)

Output
The total energy comes out at -7.213 eV per atom. As for the space group: No. 216.

Here is an optimized crystal structure of K2MoRh from Alexandria via LeMat-Bulk. Energies are from GGA-PBE.

a = 2.828 Å, b = 5.885 Å, c = 5.141 Å
α = 90.00°, β = 96.55°, γ = 90.00°
Fractional positions:
K (0.222, 0.000, 0.257)
K (0.778, 0.000, 0.743)
Mo (0.500, 0.500, 0.000)
Rh (0.000, 0.500, 0.500)

Output
The energy above the most stable polymorph in this dataset comes out at 557 meV/atom. As for the space group: No. 10.

Here is an optimized crystal structure of Er5ScAl3 from Alexandria via LeMat-Bulk. Energies are from GGA-PBE.

a = 8.927 Å, b = 8.927 Å, c = 6.482 Å
α = 90.00°, β = 90.00°, γ = 120.00°
Fractional positions:
Er (0.000, 0.326, 0.250)
Er (0.000, 0.674, 0.750)
Er (0.326, 0.000, 0.250)
Er (0.326, 0.326, 0.750)
Er (0.333, 0.667, 0.000)
Er (0.333, 0.667, 0.500)
Er (0.667, 0.333, 0.000)
Er (0.667, 0.333, 0.500)
Er (0.674, 0.000, 0.750)
Er (0.674, 0.674, 0.250)
Sc (0.000, 0.000, 0.000)
Sc (0.000, 0.000, 0.500)
Al (0.000, 0.336, 0.750)
Al (0.000, 0.664, 0.250)
Al (0.336, 0.000, 0.750)
Al (0.336, 0.336, 0.250)
Al (0.664, 0.000, 0.250)
Al (0.664, 0.664, 0.750)

Output
The total energy comes out at -4.766 eV per atom. As for the space group: No. 193.

Here is an optimized crystal structure of ZrCo2CuH from Alexandria via LeMat-Bulk. Energies are from GGA-PBE.

a = 3.913 Å, b = 3.913 Å, c = 3.597 Å
α = 90.00°, β = 90.00°, γ = 90.00°
Fractional positions:
Zr (0.000, 0.000, 0.000)
Co (0.000, 0.500, 0.500)
Co (0.500, 0.000, 0.500)
Cu (0.500, 0.500, 0.000)
H (0.500, 0.500, 0.500)

Output
The energy above the most stable polymorph in this dataset comes out at 0 meV/atom. As for the space group: No. 123.

Here is an optimized crystal structure of Mg4Si3 from Alexandria via LeMat-Bulk. Energies are from GGA-PBE.

a = 5.603 Å, b = 6.225 Å, c = 8.260 Å
α = 74.25°, β = 79.65°, γ = 85.54°
Fractional positions:
Mg (0.000, 0.000, 0.000)
Mg (0.013, 0.997, 0.653)
Mg (0.228, 0.501, 0.882)
Mg (0.294, 0.186, 0.244)
Mg (0.511, 0.704, 0.125)
Mg (0.575, 0.321, 0.503)
Mg (0.764, 0.457, 0.794)
Mg (0.813, 0.868, 0.382)
Si (0.018, 0.580, 0.200)
Si (0.084, 0.443, 0.496)
Si (0.325, 0.769, 0.458)
Si (0.489, 0.093, 0.874)
Si (0.519, 0.842, 0.687)
Si (0.778, 0.305, 0.154)

Output
The energy above the most stable polymorph in this dataset comes out at 49 meV/atom. As for the space group: No. 1. For the uncorrected formation energy, the calculation gives 0.0172 eV/atom.

no.,D(E_F) (states/eV/atom),density (g cm⁻³)
1,0.023,3.905
2,1.316,6.655
3,0.925,10.362
4,1.333,5.412
5,0.945,7.143
6,0.095,8.253
7,0.206,2.211